The following is a DFT calculation (PBE) of BaPr2AlO5 after structural relaxation.

Structure (POSCAR):
```
BaPr2AlO5
1.0
6.8801 0.0000 0.0000
0.0000 6.8801 0.0000
-3.4401 -3.4401 5.6906
Ba O Pr Al
2 10 4 2
Cartesian
3.4401 3.4401 2.8453 Ba
0.0000 0.0000 2.8453 Ba
0.9422 2.4979 4.0376 O
4.3822 -0.9422 1.6530 O
-0.9422 4.3822 4.0376 O
2.4979 0.9422 1.6530 O
2.4979 -0.9422 4.0376 O
0.9422 4.3822 1.6530 O
0.0000 0.0000 0.0000 O
3.4401 3.4401 0.0000 O
-0.9422 2.4979 1.6530 O
4.3822 0.9422 4.0376 O
5.7047 4.6154 0.0000 Pr
1.1754 2.2647 0.0000 Pr
4.6154 1.1754 0.0000 Pr
2.2647 5.7047 0.0000 Pr
3.4401 0.0000 2.8453 Al
0.0000 3.4401 2.8453 Al
```

Properties
SG	I4/mcm, No. 140
energy relative to the elements, uncorrected	-2.91	eV per atom
theoretical density	6.49	g/cm³
E	-7.357	eV per atom